Hf6SiSn | PBE-GGA | optimized geometry

abc: 6.0315 6.0315 6.0315
angles: 108.33 108.33 108.33
Last column: nearest neighbours and their distance in Å.
Fractional positions:
Hf: 0.2455 0.2455 0.7198  1 Si 2.75, 3 Hf 2.95-3.03, 1 Sn 3.00
Hf: 0.2455 0.7198 0.2455  1 Si 2.75, 3 Hf 2.95-3.03, 1 Sn 3.00
Hf: 0.2802 0.7545 0.7545  1 Si 2.75, 3 Hf 2.95-3.03, 1 Sn 3.00
Hf: 0.7198 0.2455 0.2455  1 Si 2.75, 3 Hf 2.95-3.03, 1 Sn 3.00
Hf: 0.7545 0.2802 0.7545  1 Si 2.75, 3 Hf 2.95-3.03, 1 Sn 3.00
Hf: 0.7545 0.7545 0.2802  1 Si 2.75, 3 Hf 2.95-3.03, 1 Sn 3.00
Si: 0.5000 0.5000 0.5000  6 Hf 2.75
Sn: 0.0000 0.0000 0.0000  6 Hf 3.00, 2 Si 3.18

Calculated values
ΔE_f (raw) in eV/atom: -0.023

***

CaNd3 | PBE-GGA | optimized geometry

abc: 7.0559 7.0559 7.0559
angles: 149.11 64.10 125.35
Last column: nearest neighbours and their distance in Å.
Fractional positions:
Ca: 0.0000 0.0000 0.0000  10 Nd 3.66-3.75, 2 Ca 3.76
Nd: 0.0958 0.3400 0.7557  9 Nd 3.62-3.77, 3 Ca 3.66-3.74
Nd: 0.4998 0.9998 0.5000  8 Nd 3.62-3.77, 4 Ca 3.74-3.75
Nd: 0.5843 0.3400 0.2443  9 Nd 3.62-3.77, 3 Ca 3.66-3.74

Calculated values
E_form in eV/f.u.: 0.2

***

Asked for uncorrected energy across the records above, the calculation gives -8.666; -4.023 eV per atom in order.